Record 1
Ce2SnH | PBE-GGA | relaxed Values from VASP.

Structure (Quantum ESPRESSO input):
```
&SYSTEM
  ibrav = 0, nat = 16, ntyp = 3
/
ATOMIC_SPECIES
Ce 140.12 Ce.upf
Sn 118.71 Sn.upf
H 1.01 H.upf
ATOMIC_POSITIONS crystal
Ce 0.098 0.250 0.190
Ce 0.142 0.250 0.557
Ce 0.358 0.750 0.057
Ce 0.402 0.750 0.690
Ce 0.598 0.250 0.310
Ce 0.642 0.250 0.943
Ce 0.858 0.750 0.443
Ce 0.902 0.750 0.810
Sn 0.190 0.250 0.871
Sn 0.310 0.750 0.371
Sn 0.690 0.250 0.629
Sn 0.810 0.750 0.129
H 0.082 0.750 0.619
H 0.418 0.250 0.119
H 0.582 0.750 0.881
H 0.918 0.250 0.381
CELL_PARAMETERS angstrom
7.207 0.000 0.000
0.000 4.800 0.000
0.000 0.000 10.421
```

**Crystal system**: orthorhombic
**DOS(E_F)**: 10.3 states/eV/f.u.
**DFT total energy**: -5.3527 eV/atom
**Space-group type**: Pnma (62)

Record 2
Ce4Sn2H | PBE-GGA | relaxed Values from VASP.

Structure (Quantum ESPRESSO input):
```
&SYSTEM
  ibrav = 0, nat = 14, ntyp = 3
/
ATOMIC_SPECIES
Ce 140.12 Ce.upf
Sn 118.71 Sn.upf
H 1.01 H.upf
ATOMIC_POSITIONS crystal
Ce 0.000 0.000 0.000
Ce 0.000 0.000 0.351
Ce 0.000 0.500 0.500
Ce 0.000 0.500 0.851
Ce 0.500 0.232 0.676
Ce 0.500 0.268 0.176
Ce 0.500 0.732 0.176
Ce 0.500 0.768 0.676
Sn 0.500 0.000 0.513
Sn 0.500 0.000 0.838
Sn 0.500 0.500 0.013
Sn 0.500 0.500 0.338
H 0.000 0.000 0.130
H 0.000 0.500 0.630
CELL_PARAMETERS angstrom
3.189 0.000 0.000
0.000 5.972 0.000
0.000 0.000 18.226
```

**Crystal system**: orthorhombic
**DOS(E_F)**: 18.5 states/eV/f.u.
**DFT total energy**: -5.3442 eV/atom
**Space-group type**: Amm2 (38)

Record 3
Ce3Sn2H | PBE-GGA | relaxed Values from VASP.

Structure (Quantum ESPRESSO input):
```
&SYSTEM
  ibrav = 0, nat = 12, ntyp = 3
/
ATOMIC_SPECIES
Ce 140.12 Ce.upf
Sn 118.71 Sn.upf
H 1.01 H.upf
ATOMIC_POSITIONS crystal
Ce 0.000 0.000 0.000
Ce 0.066 0.500 0.389
Ce 0.429 0.000 0.604
Ce 0.500 0.500 0.000
Ce 0.566 0.000 0.389
Ce 0.929 0.500 0.604
Sn 0.214 0.000 0.792
Sn 0.280 0.500 0.200
Sn 0.714 0.500 0.792
Sn 0.780 0.000 0.200
H 0.138 0.000 0.366
H 0.638 0.500 0.366
CELL_PARAMETERS angstrom
10.366 0.000 0.000
0.000 4.528 0.000
-5.085 0.000 6.140
```

**Crystal system**: monoclinic
**DOS(E_F)**: 13.3 states/eV/f.u.
**DFT total energy**: -5.3933 eV/atom
**Space-group type**: Cm (8)

Record 4
Ce2Th4Sn3H2 | PBE-GGA | relaxed Values from VASP.

Structure (Quantum ESPRESSO input):
```
&SYSTEM
  ibrav = 0, nat = 11, ntyp = 4
/
ATOMIC_SPECIES
Ce 140.12 Ce.upf
Th 232.04 Th.upf
Sn 118.71 Sn.upf
H 1.01 H.upf
ATOMIC_POSITIONS crystal
Ce 0.204 0.204 0.000
Ce 0.796 0.796 0.000
Th 0.083 0.583 0.500
Th 0.417 0.917 0.500
Th 0.583 0.083 0.500
Th 0.917 0.417 0.500
Sn 0.327 0.327 0.000
Sn 0.500 0.500 0.000
Sn 0.673 0.673 0.000
H 0.076 0.076 0.000
H 0.924 0.924 0.000
CELL_PARAMETERS angstrom
-2.385 2.385 13.290
2.385 -2.385 13.290
2.385 2.385 -13.290
```

**Crystal system**: tetragonal
**DOS(E_F)**: 23.4 states/eV/f.u.
**DFT total energy**: -5.7991 eV/atom
**Space-group type**: I4/mmm (139)

Record 5
Ce2Zn2Sn2H3 | PBE-GGA | relaxed Values from VASP.

Structure (Quantum ESPRESSO input):
```
&SYSTEM
  ibrav = 0, nat = 18, ntyp = 4
/
ATOMIC_SPECIES
Ce 140.12 Ce.upf
Zn 65.41 Zn.upf
Sn 118.71 Sn.upf
H 1.01 H.upf
ATOMIC_POSITIONS crystal
Ce 0.000 0.000 0.000
Ce 0.000 0.000 0.250
Ce 0.000 0.000 0.500
Ce 0.000 0.000 0.750
Zn 0.333 0.667 0.111
Zn 0.333 0.667 0.389
Zn 0.667 0.333 0.611
Zn 0.667 0.333 0.889
Sn 0.333 0.667 0.639
Sn 0.333 0.667 0.861
Sn 0.667 0.333 0.139
Sn 0.667 0.333 0.361
H 0.333 0.667 0.014
H 0.333 0.667 0.250
H 0.333 0.667 0.486
H 0.667 0.333 0.514
H 0.667 0.333 0.750
H 0.667 0.333 0.986
CELL_PARAMETERS angstrom
4.372 0.000 0.000
-2.186 3.786 0.000
0.000 0.000 18.351
```

**Crystal system**: hexagonal
**DOS(E_F)**: 10.9 states/eV/f.u.
**DFT total energy**: -4.0133 eV/atom
**Space-group type**: P6_3/mmc (194)

Record 6
SrCeH | PBE-GGA | relaxed Values from VASP.

Structure (Quantum ESPRESSO input):
```
&SYSTEM
  ibrav = 0, nat = 12, ntyp = 3
/
ATOMIC_SPECIES
Sr 87.62 Sr.upf
Ce 140.12 Ce.upf
H 1.01 H.upf
ATOMIC_POSITIONS crystal
Sr 0.167 0.247 0.382
Sr 0.167 0.253 0.882
Sr 0.833 0.747 0.118
Sr 0.833 0.753 0.618
Ce 0.440 0.648 0.644
Ce 0.440 0.852 0.144
Ce 0.560 0.148 0.856
Ce 0.560 0.352 0.356
H 0.220 0.721 0.633
H 0.220 0.779 0.133
H 0.780 0.221 0.867
H 0.780 0.279 0.367
CELL_PARAMETERS angstrom
10.943 0.000 0.000
0.000 3.708 0.000
-0.217 0.000 7.437
```

**Crystal system**: monoclinic
**DOS(E_F)**: 3.6 states/eV/f.u.
**DFT total energy**: -3.7738 eV/atom
**Space-group type**: P2_1/c (14)

Record 7
SrCe2H | PBE-GGA | relaxed Values from VASP.

Structure (Quantum ESPRESSO input):
```
&SYSTEM
  ibrav = 0, nat = 12, ntyp = 3
/
ATOMIC_SPECIES
Sr 87.62 Sr.upf
Ce 140.12 Ce.upf
H 1.01 H.upf
ATOMIC_POSITIONS crystal
Sr 0.000 0.000 0.000
Sr 0.333 0.667 0.667
Sr 0.667 0.333 0.333
Ce 0.000 0.000 0.118
Ce 0.000 0.000 0.882
Ce 0.333 0.667 0.549
Ce 0.333 0.667 0.785
Ce 0.667 0.333 0.215
Ce 0.667 0.333 0.451
H 0.000 0.000 0.500
H 0.333 0.667 0.167
H 0.667 0.333 0.833
CELL_PARAMETERS angstrom
3.549 0.000 0.000
-1.774 3.073 0.000
0.000 0.000 29.973
```

**Crystal system**: trigonal
**DOS(E_F)**: 11.2 states/eV/f.u.
**DFT total energy**: -4.1020 eV/atom
**Space-group type**: R-3m (166)

Record 8
Sr5Ce3H12 | PBE-GGA | relaxed Values from VASP.

Structure (Quantum ESPRESSO input):
```
&SYSTEM
  ibrav = 0, nat = 80, ntyp = 3
/
ATOMIC_SPECIES
Sr 87.62 Sr.upf
Ce 140.12 Ce.upf
H 1.01 H.upf
ATOMIC_POSITIONS crystal
Sr 0.000 0.000 0.000
Sr 0.000 0.000 0.500
Sr 0.000 0.500 0.000
Sr 0.000 0.500 0.500
Sr 0.125 0.750 0.875
Sr 0.125 0.875 0.250
Sr 0.250 0.125 0.875
Sr 0.250 0.625 0.375
Sr 0.375 0.250 0.625
Sr 0.375 0.625 0.750
Sr 0.500 0.000 0.000
Sr 0.500 0.000 0.500
Sr 0.500 0.500 0.000
Sr 0.500 0.500 0.500
Sr 0.625 0.375 0.250
Sr 0.625 0.750 0.375
Sr 0.750 0.375 0.625
Sr 0.750 0.875 0.125
Sr 0.875 0.125 0.750
Sr 0.875 0.250 0.125
Ce 0.125 0.250 0.375
Ce 0.125 0.375 0.750
Ce 0.250 0.375 0.125
Ce 0.250 0.875 0.625
Ce 0.375 0.125 0.250
Ce 0.375 0.750 0.125
Ce 0.625 0.250 0.875
Ce 0.625 0.875 0.750
Ce 0.750 0.125 0.375
Ce 0.750 0.625 0.875
Ce 0.875 0.625 0.250
Ce 0.875 0.750 0.625
H 0.075 0.234 0.156
H 0.075 0.340 0.918
H 0.078 0.734 0.660
H 0.078 0.844 0.418
H 0.082 0.656 0.422
H 0.082 0.925 0.660
H 0.156 0.075 0.234
H 0.156 0.582 0.922
H 0.160 0.234 0.578
H 0.160 0.425 0.582
H 0.234 0.156 0.075
H 0.234 0.578 0.160
H 0.266 0.340 0.922
H 0.266 0.425 0.344
H 0.340 0.918 0.075
H 0.340 0.922 0.266
H 0.344 0.266 0.425
H 0.344 0.578 0.918
H 0.418 0.078 0.844
H 0.418 0.840 0.575
H 0.422 0.082 0.656
H 0.422 0.840 0.766
H 0.425 0.344 0.266
H 0.425 0.582 0.160
H 0.575 0.418 0.840
H 0.575 0.656 0.734
H 0.578 0.160 0.234
H 0.578 0.918 0.344
H 0.582 0.160 0.425
H 0.582 0.922 0.156
H 0.656 0.422 0.082
H 0.656 0.734 0.575
H 0.660 0.078 0.734
H 0.660 0.082 0.925
H 0.734 0.575 0.656
H 0.734 0.660 0.078
H 0.766 0.422 0.840
H 0.766 0.844 0.925
H 0.840 0.575 0.418
H 0.840 0.766 0.422
H 0.844 0.418 0.078
H 0.844 0.925 0.766
H 0.918 0.075 0.340
H 0.918 0.344 0.578
H 0.922 0.156 0.582
H 0.922 0.266 0.340
H 0.925 0.660 0.082
H 0.925 0.766 0.844
CELL_PARAMETERS angstrom
-7.041 7.041 7.041
7.041 -7.041 7.041
7.041 7.041 -7.041
```

**Crystal system**: cubic
**DOS(E_F)**: 23.6 states/eV/f.u.
**DFT total energy**: -3.6282 eV/atom
**Space-group type**: Ia-3d (230)

Record 9
SrCe2H8 | PBE-GGA | relaxed Values from VASP.

Structure (Quantum ESPRESSO input):
```
&SYSTEM
  ibrav = 0, nat = 11, ntyp = 3
/
ATOMIC_SPECIES
Sr 87.62 Sr.upf
Ce 140.12 Ce.upf
H 1.01 H.upf
ATOMIC_POSITIONS crystal
Sr 0.000 0.000 0.000
Ce 0.323 0.323 0.000
Ce 0.677 0.677 0.000
H 0.110 0.838 0.272
H 0.181 0.681 0.500
H 0.291 0.500 0.791
H 0.434 0.162 0.272
H 0.566 0.838 0.728
H 0.709 0.500 0.209
H 0.819 0.319 0.500
H 0.890 0.162 0.728
CELL_PARAMETERS angstrom
-1.953 2.700 5.897
1.953 -2.700 5.897
1.953 2.700 -5.897
```

**Crystal system**: orthorhombic
**DOS(E_F)**: 13.1 states/eV/f.u.
**DFT total energy**: -4.1897 eV/atom
**Space-group type**: Immm (71)

Record 10
SrCeH3 | PBE-GGA | relaxed Values from VASP.

Structure (Quantum ESPRESSO input):
```
&SYSTEM
  ibrav = 0, nat = 5, ntyp = 3
/
ATOMIC_SPECIES
Sr 87.62 Sr.upf
Ce 140.12 Ce.upf
H 1.01 H.upf
ATOMIC_POSITIONS crystal
Sr 0.000 0.000 0.000
Ce 0.500 0.500 0.500
H 0.000 0.500 0.500
H 0.500 0.000 0.500
H 0.500 0.500 0.000
CELL_PARAMETERS angstrom
4.465 0.000 0.000
0.000 4.465 0.000
0.000 0.000 4.465
```

**Crystal system**: cubic
**DOS(E_F)**: 6.8 states/eV/f.u.
**DFT total energy**: -3.7929 eV/atom
**Space-group type**: Pm-3m (221)

Record 11
Sr2CeH | PBE-GGA | relaxed Values from VASP.

Structure (Quantum ESPRESSO input):
```
&SYSTEM
  ibrav = 0, nat = 12, ntyp = 3
/
ATOMIC_SPECIES
Sr 87.62 Sr.upf
Ce 140.12 Ce.upf
H 1.01 H.upf
ATOMIC_POSITIONS crystal
Sr 0.000 0.000 0.115
Sr 0.000 0.000 0.885
Sr 0.333 0.667 0.552
Sr 0.333 0.667 0.782
Sr 0.667 0.333 0.218
Sr 0.667 0.333 0.448
Ce 0.000 0.000 0.000
Ce 0.333 0.667 0.667
Ce 0.667 0.333 0.333
H 0.000 0.000 0.500
H 0.333 0.667 0.167
H 0.667 0.333 0.833
CELL_PARAMETERS angstrom
3.740 0.000 0.000
-1.870 3.239 0.000
0.000 0.000 31.393
```

**Crystal system**: trigonal
**DOS(E_F)**: 8.4 states/eV/f.u.
**DFT total energy**: -2.9688 eV/atom
**Space-group type**: R-3m (166)

Record 12
CeTa2H | PBE-GGA | relaxed Values from VASP.

Structure (Quantum ESPRESSO input):
```
&SYSTEM
  ibrav = 0, nat = 12, ntyp = 3
/
ATOMIC_SPECIES
Ce 140.12 Ce.upf
Ta 180.95 Ta.upf
H 1.01 H.upf
ATOMIC_POSITIONS crystal
Ce 0.000 0.000 0.000
Ce 0.333 0.667 0.667
Ce 0.667 0.333 0.333
Ta 0.000 0.000 0.116
Ta 0.000 0.000 0.884
Ta 0.333 0.667 0.551
Ta 0.333 0.667 0.783
Ta 0.667 0.333 0.217
Ta 0.667 0.333 0.449
H 0.000 0.000 0.500
H 0.333 0.667 0.167
H 0.667 0.333 0.833
CELL_PARAMETERS angstrom
2.964 0.000 0.000
-1.482 2.567 0.000
0.000 0.000 25.350
```

**Crystal system**: trigonal
**DOS(E_F)**: 4.7 states/eV/f.u.
**DFT total energy**: -7.9768 eV/atom
**Space-group type**: R-3m (166)

Record 13
TbCe2H | PBE-GGA | relaxed Values from VASP.

Structure (Quantum ESPRESSO input):
```
&SYSTEM
  ibrav = 0, nat = 12, ntyp = 3
/
ATOMIC_SPECIES
Tb 158.93 Tb.upf
Ce 140.12 Ce.upf
H 1.01 H.upf
ATOMIC_POSITIONS crystal
Tb 0.000 0.000 0.000
Tb 0.333 0.667 0.667
Tb 0.667 0.333 0.333
Ce 0.000 0.000 0.223
Ce 0.000 0.000 0.777
Ce 0.333 0.667 0.444
Ce 0.333 0.667 0.890
Ce 0.667 0.333 0.110
Ce 0.667 0.333 0.556
H 0.000 0.000 0.500
H 0.333 0.667 0.167
H 0.667 0.333 0.833
CELL_PARAMETERS angstrom
3.462 0.000 0.000
-1.731 2.998 0.000
0.000 0.000 26.697
```

**Crystal system**: trigonal
**DOS(E_F)**: 8.9 states/eV/f.u.
**DFT total energy**: -5.0402 eV/atom
**Space-group type**: R-3m (166)

Record 14
Tb5Ce3H12 | PBE-GGA | relaxed Values from VASP.

Structure (Quantum ESPRESSO input):
```
&SYSTEM
  ibrav = 0, nat = 80, ntyp = 3
/
ATOMIC_SPECIES
Tb 158.93 Tb.upf
Ce 140.12 Ce.upf
H 1.01 H.upf
ATOMIC_POSITIONS crystal
Tb 0.000 0.000 0.000
Tb 0.000 0.000 0.500
Tb 0.000 0.500 0.000
Tb 0.000 0.500 0.500
Tb 0.125 0.750 0.875
Tb 0.125 0.875 0.250
Tb 0.250 0.125 0.875
Tb 0.250 0.625 0.375
Tb 0.375 0.250 0.625
Tb 0.375 0.625 0.750
Tb 0.500 0.000 0.000
Tb 0.500 0.000 0.500
Tb 0.500 0.500 0.000
Tb 0.500 0.500 0.500
Tb 0.625 0.375 0.250
Tb 0.625 0.750 0.375
Tb 0.750 0.375 0.625
Tb 0.750 0.875 0.125
Tb 0.875 0.125 0.750
Tb 0.875 0.250 0.125
Ce 0.125 0.250 0.375
Ce 0.125 0.375 0.750
Ce 0.250 0.375 0.125
Ce 0.250 0.875 0.625
Ce 0.375 0.125 0.250
Ce 0.375 0.750 0.125
Ce 0.625 0.250 0.875
Ce 0.625 0.875 0.750
Ce 0.750 0.125 0.375
Ce 0.750 0.625 0.875
Ce 0.875 0.625 0.250
Ce 0.875 0.750 0.625
H 0.065 0.225 0.148
H 0.065 0.341 0.918
H 0.077 0.725 0.659
H 0.077 0.852 0.418
H 0.082 0.648 0.423
H 0.082 0.935 0.659
H 0.148 0.065 0.225
H 0.148 0.582 0.923
H 0.159 0.225 0.577
H 0.159 0.435 0.582
H 0.225 0.148 0.065
H 0.225 0.577 0.159
H 0.275 0.341 0.923
H 0.275 0.435 0.352
H 0.341 0.918 0.065
H 0.341 0.923 0.275
H 0.352 0.275 0.435
H 0.352 0.577 0.918
H 0.418 0.077 0.852
H 0.418 0.841 0.565
H 0.423 0.082 0.648
H 0.423 0.841 0.775
H 0.435 0.352 0.275
H 0.435 0.582 0.159
H 0.565 0.418 0.841
H 0.565 0.648 0.725
H 0.577 0.159 0.225
H 0.577 0.918 0.352
H 0.582 0.159 0.435
H 0.582 0.923 0.148
H 0.648 0.423 0.082
H 0.648 0.725 0.565
H 0.659 0.077 0.725
H 0.659 0.082 0.935
H 0.725 0.565 0.648
H 0.725 0.659 0.077
H 0.775 0.423 0.841
H 0.775 0.852 0.935
H 0.841 0.565 0.418
H 0.841 0.775 0.423
H 0.852 0.418 0.077
H 0.852 0.935 0.775
H 0.918 0.065 0.341
H 0.918 0.352 0.577
H 0.923 0.148 0.582
H 0.923 0.275 0.341
H 0.935 0.659 0.082
H 0.935 0.775 0.852
CELL_PARAMETERS angstrom
-6.620 6.620 6.620
6.620 -6.620 6.620
6.620 6.620 -6.620
```

**Crystal system**: cubic
**DOS(E_F)**: 22.1 states/eV/f.u.
**DFT total energy**: -4.4981 eV/atom
**Space-group type**: Ia-3d (230)

Record 15
TbCeH | PBE-GGA | relaxed Values from VASP.

Structure (Quantum ESPRESSO input):
```
&SYSTEM
  ibrav = 0, nat = 6, ntyp = 3
/
ATOMIC_SPECIES
Tb 158.93 Tb.upf
Ce 140.12 Ce.upf
H 1.01 H.upf
ATOMIC_POSITIONS crystal
Tb 0.000 0.000 0.000
Tb 0.500 0.500 0.500
Ce 0.000 0.000 0.286
Ce 0.500 0.500 0.786
H 0.000 0.000 0.473
H 0.500 0.500 0.973
CELL_PARAMETERS angstrom
3.286 0.000 0.000
0.000 3.286 0.000
0.000 0.000 12.079
```

**Crystal system**: tetragonal
**DOS(E_F)**: 5.7 states/eV/f.u.
**DFT total energy**: -4.7086 eV/atom
**Space-group type**: I4mm (107)

Record 16
TbCeH | PBE-GGA | relaxed Values from VASP.

Structure (Quantum ESPRESSO input):
```
&SYSTEM
  ibrav = 0, nat = 12, ntyp = 3
/
ATOMIC_SPECIES
Tb 158.93 Tb.upf
Ce 140.12 Ce.upf
H 1.01 H.upf
ATOMIC_POSITIONS crystal
Tb 0.081 0.240 0.412
Tb 0.081 0.260 0.912
Tb 0.919 0.740 0.088
Tb 0.919 0.760 0.588
Ce 0.425 0.750 0.091
Ce 0.425 0.750 0.591
Ce 0.575 0.250 0.409
Ce 0.575 0.250 0.909
H 0.085 0.646 0.919
H 0.085 0.854 0.419
H 0.915 0.146 0.581
H 0.915 0.354 0.081
CELL_PARAMETERS angstrom
7.419 0.000 0.000
0.000 5.757 0.000
-3.496 0.000 6.321
```

**Crystal system**: monoclinic
**DOS(E_F)**: 5.5 states/eV/f.u.
**DFT total energy**: -4.8413 eV/atom
**Space-group type**: P2_1/c (14)

Record 17
Tb2CeH | PBE-GGA | relaxed Values from VASP.

Structure (Quantum ESPRESSO input):
```
&SYSTEM
  ibrav = 0, nat = 12, ntyp = 3
/
ATOMIC_SPECIES
Tb 158.93 Tb.upf
Ce 140.12 Ce.upf
H 1.01 H.upf
ATOMIC_POSITIONS crystal
Tb 0.000 0.000 0.118
Tb 0.000 0.000 0.882
Tb 0.333 0.667 0.549
Tb 0.333 0.667 0.785
Tb 0.667 0.333 0.215
Tb 0.667 0.333 0.451
Ce 0.000 0.000 0.000
Ce 0.333 0.667 0.667
Ce 0.667 0.333 0.333
H 0.000 0.000 0.500
H 0.333 0.667 0.167
H 0.667 0.333 0.833
CELL_PARAMETERS angstrom
3.416 0.000 0.000
-1.708 2.959 0.000
0.000 0.000 28.102
```

**Crystal system**: trigonal
**DOS(E_F)**: 6.9 states/eV/f.u.
**DFT total energy**: -4.6458 eV/atom
**Space-group type**: R-3m (166)